VASP calculation (PBE) on a relaxed structure of Cd3In2F8.

Lattice parameters (Å, degrees): 7.591 7.591 5.994 108.35 108.35 54.72
Positions (direct):
Cd 0.000 0.000 0.000
Cd 0.257 0.743 0.500
Cd 0.743 0.257 0.500
In 0.302 0.302 0.843
In 0.698 0.698 0.157
F 0.087 0.087 0.405
F 0.144 0.671 0.102
F 0.329 0.856 0.898
F 0.404 0.404 0.570
F 0.596 0.596 0.430
F 0.671 0.144 0.102
F 0.856 0.329 0.898
F 0.913 0.913 0.595

## Properties
Magnetic moment in μB per formula unit: 0.00
SG: No. 12
E_tot in eV/atom: -3.81
Formation energy from raw total energies in meV per atom: -2023.3